# 1
A plane-wave DFT calculation with PBE-GGA was carried out for crystalline Cr2MoPb at its relaxed geometry.

Lattice parameters (Å, degrees): 3.1822 3.1822 6.8371 90.00 90.00 90.00
Space group P4/mmm (No. 123)
Unique sites:
Cr: 0.0000 0.0000 0.2020 x2
Mo: 0.5000 0.5000 0.0000 x1
Pb: 0.5000 0.5000 0.5000 x1

Computed properties:
For the density of states at the Fermi level, the calculation gives 3.839 states/eV/f.u. The value obtained for the calculated volume is 17.31 Å³ per atom. For the calculated formation energy, the calculation gives 0.490 eV per atom.

***

# 2
A plane-wave DFT calculation with PBE-GGA was carried out for crystalline Rb3ScBi2 at its relaxed geometry.

Lattice parameters (Å, degrees): 20.2874 5.3661 10.7205 90.00 105.19 90.00
Space group C2/m (No. 12)
Unique sites:
Rb: 0.0626 0.0000 0.1767 x4
Rb: 0.1842 0.5000 0.0510 x4
Rb: 0.2014 0.0000 0.5724 x4
Sc: 0.0597 0.5000 0.6672 x4
Bi: 0.0911 0.5000 0.4130 x4
Bi: 0.1130 0.0000 0.8188 x4

Computed properties:
For the density of states at the Fermi level, the calculation gives 0.507 states/eV/f.u. The value obtained for the calculated volume is 46.93 Å³ per atom. For the calculated formation energy, the calculation gives -0.344 eV per atom.

***

# 3
A plane-wave DFT calculation with PBE-GGA was carried out for crystalline Pm5TmN6 at its relaxed geometry.

Lattice parameters (Å, degrees): 6.2030 10.7438 6.2003 90.00 109.47 90.00
Space group C2/m (No. 12)
Unique sites:
Pm: 0.0000 0.0000 0.0000 x2
Pm: 0.0000 0.1669 0.5000 x4
Pm: 0.0000 0.3346 0.0000 x4
Tm: 0.0000 0.5000 0.5000 x2
N: 0.2432 0.5000 0.2537 x4
N: 0.2443 0.3374 0.7453 x8

Computed properties:
For the density of states at the Fermi level, the calculation gives 0.538 states/eV/f.u. For the formation energy without anion corrections, the calculation gives -1483.0 meV/atom. The value obtained for the calculated volume is 16.23 Å³ per atom.

***

# 4
A plane-wave DFT calculation with PBE-GGA was carried out for crystalline LiMgCo2 at its relaxed geometry.

Lattice parameters (Å, degrees): 3.0336 4.1182 8.4787 90.00 90.00 90.00
Space group Cmmm (No. 65)
Unique sites:
Li: 0.0000 0.0000 0.0000 x2
Mg: 0.0000 0.0000 0.5000 x2
Co: 0.0000 0.5000 0.2482 x4

Computed properties:
For the density of states at the Fermi level, the calculation gives 2.979 states/eV/f.u. The value obtained for the calculated volume is 13.24 Å³ per atom. For the calculated formation energy, the calculation gives 0.269 eV per atom.

***

# 5
A plane-wave DFT calculation with PBE-GGA was carried out for crystalline AcBeSi2Rh at its relaxed geometry.

Lattice parameters (Å, degrees): 4.1630 4.1630 10.4492 90.00 90.00 90.00
Space group I-4m2 (No. 119)
Unique sites:
Ac: 0.0000 0.0000 0.0000 x2
Be: 0.0000 0.5000 0.7500 x2
Si: 0.0000 0.0000 0.3698 x4
Rh: 0.0000 0.5000 0.2500 x2

Computed properties:
For the density of states at the Fermi level, the calculation gives 2.777 states/eV/f.u. For the formation energy without anion corrections, the calculation gives -612.8 meV/atom. The value obtained for the calculated volume is 18.11 Å³ per atom.

***

# 6
A plane-wave DFT calculation with PBE-GGA was carried out for crystalline Pr6HoSc2 at its relaxed geometry.

Lattice parameters (Å, degrees): 9.2788 17.6068 3.6255 90.00 90.00 90.00
Space group Cmmm (No. 65)
Unique sites:
Pr: 0.1775 0.1670 0.0000 x8
Pr: 0.1826 0.0000 0.5000 x4
Ho: 0.0000 0.5000 0.0000 x2
Sc: 0.0000 0.3251 0.5000 x4

Computed properties:
Its relative energy among the computed polymorphs is 92 meV/atom. For the density of states at the Fermi level, the calculation gives 12.844 states/eV/f.u. The value obtained for the calculated volume is 32.90 Å³ per atom. For the calculated formation energy, the calculation gives 0.165 eV per atom.

***

# 7
A plane-wave DFT calculation with PBE-GGA was carried out for crystalline ThZrIr4 at its relaxed geometry.

Lattice parameters (Å, degrees): 7.5904 7.5904 7.5904 90.00 90.00 90.00
Space group F-43m (No. 216)
Unique sites:
Th: 0.0000 0.0000 0.0000 x4
Zr: 0.2500 0.2500 0.7500 x4
Ir: 0.1245 0.1245 0.3755 x16

Computed properties:
For the density of states at the Fermi level, the calculation gives 4.827 states/eV/f.u. The value obtained for the calculated volume is 18.22 Å³ per atom. For the calculated formation energy, the calculation gives -0.696 eV per atom.

***

# 8
A plane-wave DFT calculation with PBE-GGA was carried out for crystalline BaNdCd2 at its relaxed geometry.

Lattice parameters (Å, degrees): 3.9935 3.9935 30.9318 90.00 90.00 120.00
Space group R-3m (No. 166, hexagonal axes)
Unique sites:
Ba: 0.0000 0.0000 0.0000 x3
Nd: 0.0000 0.0000 0.5000 x3
Cd: 0.0000 0.0000 0.2432 x6

Computed properties:
Its relative energy among the computed polymorphs is 229 meV/atom. For the density of states at the Fermi level, the calculation gives 4.809 states/eV/f.u. The value obtained for the calculated volume is 35.60 Å³ per atom. For the calculated formation energy, the calculation gives -0.071 eV per atom.

***

> Which of these has the lowest calculated volume?

LiMgCo2

***

Please write out number 4 again, unchanged.
A plane-wave DFT calculation with PBE-GGA was carried out for crystalline LiMgCo2 at its relaxed geometry.

Lattice parameters (Å, degrees): 3.0336 4.1182 8.4787 90.00 90.00 90.00
Space group Cmmm (No. 65)
Unique sites:
Li: 0.0000 0.0000 0.0000 x2
Mg: 0.0000 0.0000 0.5000 x2
Co: 0.0000 0.5000 0.2482 x4

Computed properties:
For the density of states at the Fermi level, the calculation gives 2.979 states/eV/f.u. The value obtained for the calculated volume is 13.24 Å³ per atom. For the calculated formation energy, the calculation gives 0.269 eV per atom.

***

Please write out number 1 again, unchanged.
A plane-wave DFT calculation with PBE-GGA was carried out for crystalline Cr2MoPb at its relaxed geometry.

Lattice parameters (Å, degrees): 3.1822 3.1822 6.8371 90.00 90.00 90.00
Space group P4/mmm (No. 123)
Unique sites:
Cr: 0.0000 0.0000 0.2020 x2
Mo: 0.5000 0.5000 0.0000 x1
Pb: 0.5000 0.5000 0.5000 x1

Computed properties:
For the density of states at the Fermi level, the calculation gives 3.839 states/eV/f.u. The value obtained for the calculated volume is 17.31 Å³ per atom. For the calculated formation energy, the calculation gives 0.490 eV per atom.